(1)
NaCoTe2: relaxed, PBE-GGA.

Cell lengths 7.6228, 7.6228, 7.4149 Å; angles 90.00, 90.00, 90.00 degrees
Closest atoms and distances in Å follow each position.
Space group I-42d (No. 122)
Asymmetric unit:
Na1 0.0000 0.0000 0.0000 [4 per cell]  8 Te 3.35-3.58, 2 Co 3.71
Co1 0.0000 0.0000 0.5000 [4 per cell]  4 Te 2.44
Te1 0.1594 0.2500 0.6250 [8 per cell]  2 Co 2.44

**Fermi-level density of states**: 0.1 states/eV/f.u.
**Total moment**: 0.000 μB/f.u.
**ΔE_f (raw)**: -240 meV per atom

(2)
Dy2HgPd5: relaxed, PBE-GGA.

Cell lengths 6.0267, 6.0267, 8.0559 Å; angles 90.00, 90.00, 90.00 degrees
Closest atoms and distances in Å follow each position.
Space group I4/mmm (No. 139)
Asymmetric unit:
Dy1 0.0000 0.5000 0.0000 [4 per cell]  10 Pd 2.93-3.01, 2 Hg 3.01
Hg1 0.0000 0.0000 0.0000 [2 per cell]  8 Pd 2.93, 4 Dy 3.01
Pd1 0.0000 0.0000 0.5000 [2 per cell]  8 Pd 2.93, 4 Dy 3.01
Pd2 0.2500 0.2500 0.2500 [8 per cell]  2 Hg 2.93, 4 Dy 2.93, 6 Pd 2.93-3.01

**Fermi-level density of states**: 1.8 states/eV/f.u.
**E_form**: -0.7815 eV per atom
**Total moment**: 0.000 μB/f.u.

(3)
TaSeBr2: relaxed, PBE-GGA.

Cell lengths 4.5013, 4.5013, 7.8762 Å; angles 90.00, 90.00, 90.00 degrees
Closest atoms and distances in Å follow each position.
Space group I4/mmm (No. 139)
Asymmetric unit:
Ta1 0.0000 0.0000 0.0000 [2 per cell]  8 Br 2.99, 4 Se 3.18
Se1 0.0000 0.0000 0.5000 [2 per cell]  8 Br 2.99, 4 Ta 3.18
Br1 0.0000 0.5000 0.2500 [4 per cell]  4 Ta 2.99, 4 Se 2.99, 4 Br 3.18

**Fermi-level density of states**: 2.5 states/eV/f.u.
**Total moment**: 0.078 μB/f.u.
**ΔE_f (raw)**: 580 meV per atom

(4)
BaBi3C: relaxed, PBE-GGA.

Cell lengths 5.2469, 5.2469, 5.2469 Å; angles 90.00, 90.00, 90.00 degrees
Closest atoms and distances in Å follow each position.
Space group Pm-3m (No. 221)
Asymmetric unit:
Ba1 0.0000 0.0000 0.0000 [1 per cell]  12 Bi 3.71
Bi1 0.0000 0.5000 0.5000 [3 per cell]  2 C 2.62
C1 0.5000 0.5000 0.5000 [1 per cell]  6 Bi 2.62

**Fermi-level density of states**: 5.0 states/eV/f.u.
**E_form**: 0.5001 eV per atom
**Total moment**: 0.000 μB/f.u.

(5)
CaDy2Ni9: relaxed, PBE-GGA.

Cell lengths 4.9930, 4.9930, 24.1645 Å; angles 90.00, 90.00, 120.00 degrees
Closest atoms and distances in Å follow each position.
Space group R-3m (No. 166, hexagonal axes)
Asymmetric unit:
Ca1 0.0000 0.0000 0.0000 [3 per cell]  18 Ni 2.88-3.19
Dy1 0.0000 0.0000 0.1383 [6 per cell]  12 Ni 2.84-3.08
Ni1 0.0000 0.0000 0.3328 [6 per cell]  6 Ni 2.44-2.47
Ni2 0.0000 0.0000 0.5000 [3 per cell]  6 Ni 2.50
Ni3 0.0013 0.5007 0.9176 [18 per cell]  7 Ni 2.44-2.51

**Fermi-level density of states**: 12.8 states/eV/f.u.
**E_form**: -0.3216 eV per atom
**Total moment**: 1.875 μB/f.u.

(6)
HgOF: relaxed, PBE-GGA.

Cell lengths 7.4021, 4.0634, 6.1017 Å; angles 90.00, 96.93, 90.00 degrees
Closest atoms and distances in Å follow each position.
Space group C2/m (No. 12)
Asymmetric unit:
Hg1 0.1770 0.0000 0.2560 [4 per cell]  3 O 2.30-2.51, 2 F 2.34-2.39
O1 0.0884 0.5000 0.4595 [4 per cell]  1 O 1.45
F1 0.1418 0.0000 0.8697 [4 per cell]  4 Hg 2.34-2.60

**Fermi-level density of states**: 1.0 states/eV/f.u.
**Total moment**: 0.000 μB/f.u.
**ΔE_f (raw)**: -684 meV per atom

(7)
K2RbAu: relaxed, PBE-GGA.

Cell lengths 4.2401, 4.2401, 11.7350 Å; angles 90.00, 90.00, 90.00 degrees
Closest atoms and distances in Å follow each position.
Space group P4/mmm (No. 123)
Asymmetric unit:
K1 0.0000 0.0000 0.1562 [2 per cell]  4 Au 3.51, 1 K 3.67
Rb1 0.5000 0.5000 0.5000 [1 per cell]  4 Rb 4.24
Au1 0.5000 0.5000 0.0000 [1 per cell]  8 K 3.51

**Fermi-level density of states**: 2.4 states/eV/f.u.
**E_form**: -0.1350 eV per atom
**Total moment**: 0.000 μB/f.u.

(8)
TeMoCl2: relaxed, PBE-GGA.

Cell lengths 6.8145, 3.9335, 8.5732 Å; angles 90.00, 91.27, 90.00 degrees
Closest atoms and distances in Å follow each position.
Space group Cm (No. 8)
Asymmetric unit:
Te1 0.0000 0.0000 0.0000 [2 per cell]  1 Cl 2.44, 3 Mo 2.66
Mo1 0.1622 0.5000 0.8391 [2 per cell]  3 Te 2.66, 3 Cl 2.70
Cl1 0.0090 0.0000 0.2851 [2 per cell]  1 Te 2.44
Cl2 0.3240 0.0000 0.6691 [2 per cell]  3 Mo 2.70

**Total moment**: 2.051 μB/f.u.
**ΔE_f (raw)**: -151 meV per atom

(9)
Tb6Hg3Rh: relaxed, PBE-GGA.

Cell lengths 9.0459, 5.3006, 11.3843 Å; angles 90.00, 107.82, 90.00 degrees
Closest atoms and distances in Å follow each position.
Space group P2_1/m (No. 11)
Asymmetric unit:
Tb1 0.0261 0.2500 0.4103 [2 per cell]  5 Hg 3.04-3.39
Tb2 0.1767 0.7500 0.1654 [2 per cell]  1 Rh 2.85, 3 Hg 3.09-3.13
Tb3 0.2722 0.2500 0.9980 [2 per cell]  3 Rh 2.98-3.15, 2 Hg 3.15-3.31, 1 Tb 3.34
Tb4 0.3534 0.7500 0.8357 [2 per cell]  3 Rh 2.85-3.12
Tb5 0.3757 0.2500 0.3474 [2 per cell]  3 Hg 3.16-3.27, 6 Tb 3.35-3.50
Tb6 0.3900 0.2500 0.6448 [2 per cell]  1 Rh 2.83, 1 Hg 3.04
Hg1 0.0072 0.7500 0.8708 [2 per cell]  6 Tb 3.09-3.31, 2 Hg 3.41
Hg2 0.0912 0.2500 0.7138 [2 per cell]  6 Tb 3.04-3.32, 1 Hg 3.38
Hg3 0.2785 0.7500 0.4749 [2 per cell]  9 Tb 3.16-3.43, 1 Hg 3.38
Rh1 0.4562 0.7500 0.0985 [2 per cell]  8 Tb 2.83-3.15

**Fermi-level density of states**: 7.7 states/eV/f.u.
**E_form**: -0.4358 eV per atom
**Total moment**: 0.000 μB/f.u.

(10)
TaIr2Cl: relaxed, PBE-GGA.

Cell lengths 2.8243, 4.2926, 15.1209 Å; angles 90.00, 90.00, 90.00 degrees
Closest atoms and distances in Å follow each position.
Space group Imm2 (No. 44)
Asymmetric unit:
Ta1 0.0000 0.0000 0.0000 [2 per cell]  2 Cl 2.47, 2 Ir 2.74
Ir1 0.0000 0.0000 0.4288 [2 per cell]  2 Ir 2.50, 4 Ta 2.79
Ir2 0.0000 0.5000 0.3446 [2 per cell]  2 Ir 2.50, 2 Ta 2.74
Cl1 0.0000 0.5000 0.6339 [2 per cell]  2 Ta 2.47

**Fermi-level density of states**: 3.0 states/eV/f.u.
**Total moment**: 0.000 μB/f.u.
**ΔE_f (raw)**: 110 meV per atom

(11)
ZnSb4O9: relaxed, PBE-GGA.

Cell lengths 9.3386, 9.3386, 5.1266 Å; angles 90.00, 90.00, 90.00 degrees
Closest atoms and distances in Å follow each position.
Space group P4/n (No. 85, origin choice 2)
Asymmetric unit:
Zn1 0.2500 0.2500 0.0397 [2 per cell]  4 O 2.06
Sb1 0.0231 0.8312 0.3591 [8 per cell]  3 O 1.91-2.06
O1 0.0391 0.1924 0.9922 [8 per cell]  1 Sb 1.91, 1 Zn 2.06
O2 0.0507 0.3595 0.4882 [8 per cell]  2 Sb 2.04-2.06
O3 0.2500 0.7500 0.5000 [2 per cell]  4 Sb 2.36

**Fermi-level density of states**: 3.5 states/eV/f.u.
**Total moment**: 0.000 μB/f.u.
**ΔE_f (raw)**: -959 meV per atom

(12)
HoAl2Ir: relaxed, PBE-GGA.

Cell lengths 15.1221, 7.1089, 5.5954 Å; angles 90.00, 90.00, 90.00 degrees
Closest atoms and distances in Å follow each position.
Space group Pnma (No. 62)
Asymmetric unit:
Ho1 0.1003 0.2500 0.2387 [4 per cell]  2 Ir 2.87-2.95, 6 Al 3.07-3.19
Ho2 0.1386 0.7500 0.4614 [4 per cell]  3 Ir 2.84-3.12, 4 Al 3.10-3.13
Al1 0.0419 0.0584 0.7528 [8 per cell]  3 Ir 2.59-2.61, 2 Al 2.72-2.87
Al2 0.2108 0.5523 0.9414 [8 per cell]  3 Ir 2.54-2.56, 1 Al 2.81
Ir1 0.0702 0.7500 0.9881 [4 per cell]  6 Al 2.56-2.61, 1 Ho 2.84
Ir2 0.1885 0.2500 0.7083 [4 per cell]  6 Al 2.54-2.61

**Fermi-level density of states**: 2.1 states/eV/f.u.
**E_form**: -0.8515 eV per atom
**Total moment**: 0.000 μB/f.u.

(13)
Ga2AsAu: relaxed, PBE-GGA.

Cell lengths 6.2379, 6.2379, 9.9505 Å; angles 90.00, 90.00, 90.00 degrees
Closest atoms and distances in Å follow each position.
Space group I-42d (No. 122)
Asymmetric unit:
Ga1 0.2412 0.2500 0.1250 [8 per cell]  2 As 2.50, 2 Au 2.57
As1 0.0000 0.0000 0.0000 [4 per cell]  4 Ga 2.50
Au1 0.0000 0.0000 0.5000 [4 per cell]  4 Ga 2.57

**Fermi-level density of states**: 0.9 states/eV/f.u.
**E_form**: -0.0729 eV per atom
**Total moment**: 0.000 μB/f.u.

(14)
Mg6PtAu12: relaxed, PBE-GGA.

Cell lengths 10.0312, 10.0312, 11.9722 Å; angles 90.00, 90.00, 120.00 degrees
Closest atoms and distances in Å follow each position.
Space group R-3 (No. 148, hexagonal axes)
Asymmetric unit:
Mg1 0.0237 0.5947 0.2105 [18 per cell]  9 Au 2.79-3.10, 1 Pt 2.86, 2 Mg 3.00
Pt1 0.0000 0.0000 0.5000 [3 per cell]  6 Au 2.79, 6 Mg 2.86
Au1 0.0325 0.8473 0.3160 [18 per cell]  5 Mg 2.79-3.10, 1 Pt 2.79, 4 Au 2.81-2.98
Au2 0.0544 0.2102 0.9100 [18 per cell]  4 Mg 2.81-2.87, 4 Au 2.81-3.00

**Fermi-level density of states**: 5.3 states/eV/f.u.
**E_form**: -0.4304 eV per atom
**Total moment**: 0.000 μB/f.u.

(15)
Li2NiAs: relaxed, PBE-GGA.

Cell lengths 2.8262, 2.8262, 24.9746 Å; angles 90.00, 90.00, 120.00 degrees
Closest atoms and distances in Å follow each position.
Space group R-3m (No. 166, hexagonal axes)
Asymmetric unit:
Li1 0.0000 0.0000 0.2486 [6 per cell]  3 Ni 2.62, 3 As 2.67, 6 Li 2.83
Ni1 0.0000 0.0000 0.5000 [3 per cell]  6 Li 2.62, 6 Ni 2.83
As1 0.0000 0.0000 0.0000 [3 per cell]  6 Li 2.67, 6 As 2.83

**Fermi-level density of states**: 2.9 states/eV/f.u.
**E_form**: -0.0276 eV per atom
**Total moment**: 0.509 μB/f.u.

(16)
HPdNF2: relaxed, PBE-GGA.

Cell lengths 4.2901, 4.2901, 2.6293 Å; angles 90.00, 90.00, 90.00 degrees
Closest atoms and distances in Å follow each position.
Space group P4/mmm (No. 123)
Asymmetric unit:
H1 0.0000 0.0000 0.0000 [1 per cell]  2 N 1.31
Pd1 0.5000 0.5000 0.5000 [1 per cell]  8 F 2.52, 2 Pd 2.63
N1 0.0000 0.0000 0.5000 [1 per cell]  2 H 1.31
F1 0.0000 0.5000 0.0000 [2 per cell]  2 H 2.15

**Fermi-level density of states**: 3.6 states/eV/f.u.
**VASP energy**: -3.65 eV/atom
**Total moment**: 3.851 μB/f.u.

(17)
MgRePd3: relaxed, PBE-GGA.

Cell lengths 4.8223, 4.8223, 4.8223 Å; angles 90.00, 90.00, 90.00 degrees
Closest atoms and distances in Å follow each position.
Space group Pm-3m (No. 221)
Asymmetric unit:
Mg1 0.0000 0.0000 0.0000 [1 per cell]  12 Pd 3.41
Re1 0.5000 0.5000 0.5000 [1 per cell]  6 Pd 2.41
Pd1 0.0000 0.5000 0.5000 [3 per cell]  2 Re 2.41

**Fermi-level density of states**: 4.5 states/eV/f.u.
**E_form**: 0.9253 eV per atom
**Total moment**: 0.000 μB/f.u.

(18)
NbSbTe2S: relaxed, PBE-GGA.

Cell lengths 5.2695, 5.2695, 5.4423 Å; angles 90.00, 90.00, 90.00 degrees
Closest atoms and distances in Å follow each position.
Space group P4/mmm (No. 123)
Asymmetric unit:
Nb1 0.0000 0.0000 0.0000 [1 per cell]  4 Te 2.63, 2 Sb 2.72
Sb1 0.0000 0.0000 0.5000 [1 per cell]  2 Nb 2.72
Te1 0.0000 0.5000 0.0000 [2 per cell]  2 Nb 2.63
S1 0.5000 0.5000 0.5000 [1 per cell]  4 Sb 3.73, 8 Te 3.79

**Fermi-level density of states**: 2.9 states/eV/f.u.
**Total moment**: 0.000 μB/f.u.
**ΔE_f (raw)**: 462 meV per atom

(19)
Si2HgMo: relaxed, PBE-GGA.

Cell lengths 3.5238, 4.5264, 8.4694 Å; angles 90.00, 90.00, 90.00 degrees
Closest atoms and distances in Å follow each position.
Space group Cmm2 (No. 35)
Asymmetric unit:
Si1 0.0000 0.0000 0.0000 [2 per cell]  2 Si 2.54
Si2 0.0000 0.5000 0.2159 [2 per cell]  2 Mo 2.50, 2 Si 2.54
Hg1 0.0000 0.5000 0.7096 [2 per cell]  4 Hg 2.87, 2 Mo 2.98, 2 Si 3.03
Mo1 0.0000 0.0000 0.4258 [2 per cell]  2 Si 2.50

**Fermi-level density of states**: 2.0 states/eV/f.u.
**Total moment**: 0.000 μB/f.u.
**ΔE_f (raw)**: 449 meV per atom

(20)
ReSbAu2: relaxed, PBE-GGA.

Cell lengths 3.1345, 4.5951, 5.1061 Å; angles 90.00, 90.00, 90.00 degrees
Closest atoms and distances in Å follow each position.
Space group Pmmm (No. 47)
Asymmetric unit:
Re1 0.0000 0.0000 0.0000 [1 per cell]  4 Sb 2.78, 4 Au 3.00
Sb1 0.5000 0.5000 0.0000 [1 per cell]  4 Re 2.78, 4 Au 3.00
Au1 0.0000 0.5000 0.5000 [1 per cell]  4 Au 2.78, 4 Sb 3.00
Au2 0.5000 0.0000 0.5000 [1 per cell]  4 Au 2.78, 4 Re 3.00

**Fermi-level density of states**: 2.7 states/eV/f.u.
**Total moment**: 0.000 μB/f.u.
**ΔE_f (raw)**: 562 meV per atom